No. 1
PaTaFe: relaxed, PBE-GGA.

Computed properties:
- M_tot (μB per formula unit) = 0.0
- density (g cm⁻³) = 14.364
- crystal system = tetragonal
- calculated formation energy (eV/atom) = 0.0249

a = 3.047 Å, b = 3.047 Å, c = 11.651 Å
α = 90.00°, β = 90.00°, γ = 90.00°
Space group I4mm (No. 107)
One atom of each set of equivalent atoms:
Pa (0.000, 0.000, 0.000) (multiplicity 2)
Ta (0.000, 0.000, 0.293) (multiplicity 2)
Fe (0.000, 0.000, 0.674) (multiplicity 2)



No. 2
PaTa2Fe9: relaxed, PBE-GGA.

Computed properties:
- M_tot (μB per formula unit) = 14.1
- density (g cm⁻³) = 11.254
- crystal system = trigonal
- calculated formation energy (eV/atom) = -0.1553

a = 4.8396 Å, b = 4.8396 Å, c = 23.9079 Å
α = 90.00°, β = 90.00°, γ = 120.00°
Space group R-3m (No. 166, hexagonal axes)
One atom of each set of equivalent atoms:
Pa (0.0000, 0.0000, 0.0000) (multiplicity 3)
Ta (0.0000, 0.0000, 0.1430) (multiplicity 6)
Fe (0.0000, 0.0000, 0.3334) (multiplicity 6)
Fe (0.0000, 0.0000, 0.5000) (multiplicity 3)
Fe (0.0047, 0.5023, 0.9128) (multiplicity 18)